(1)
# PBE AcDy2Se5, optimized geometry
# Size of the total moment = 0.0000 μB per atom
# V = 25.43 Å³ per atom
# Raw formation energy = -1.74 eV/atom
# Density = 7.729 g/cm³
# N(E_F) = 11.84 states/eV/cell
data_AcDy2Se5
_symmetry_space_group_name_H-M 'P 1'
_symmetry_Int_Tables_number 1
_symmetry_space_group_name_Hall 'P 1'
_cell_length_a 7.7709
_cell_length_b 7.7709
_cell_length_c 8.6937
_cell_angle_alpha 116.55
_cell_angle_beta 116.55
_cell_angle_gamma 90.00
loop_
_atom_site_label
_atom_site_type_symbol
_atom_site_fract_x
_atom_site_fract_y
_atom_site_fract_z
Dy1 Dy 0.8433 0.6567 0.0000
Dy2 Dy 0.1567 0.3433 0.0000
Dy3 Dy 0.3433 0.8433 0.0000
Dy4 Dy 0.6567 0.1567 0.0000
Se1 Se 0.5000 0.5000 0.0000
Se2 Se 0.2925 0.7925 0.2826
Se3 Se 0.2075 0.0099 0.7174
Se4 Se 0.5099 0.7075 0.7174
Se5 Se 0.4901 0.2925 0.2826
Se6 Se 0.7075 0.2075 0.7174
Se7 Se 0.9901 0.4901 0.2826
Se8 Se 0.0000 0.0000 0.0000
Se9 Se 0.0099 0.5099 0.7174
Se10 Se 0.7925 0.9901 0.2826
Ac1 Ac 0.7500 0.7500 0.5000
Ac2 Ac 0.2500 0.2500 0.5000


(2)
# PBE AcDy2Se, optimized geometry
# Size of the total moment = 0.0000 μB per atom
# V = 33.65 Å³ per atom
# Raw formation energy = -0.62 eV/atom
# Density = 7.785 g/cm³
# N(E_F) = 4.35 states/eV/cell
data_AcDy2Se
_symmetry_space_group_name_H-M 'P 1'
_symmetry_Int_Tables_number 1
_symmetry_space_group_name_Hall 'P 1'
_cell_length_a 3.8054
_cell_length_b 3.8054
_cell_length_c 10.9544
_cell_angle_alpha 80.00
_cell_angle_beta 80.00
_cell_angle_gamma 60.00
loop_
_atom_site_label
_atom_site_type_symbol
_atom_site_fract_x
_atom_site_fract_y
_atom_site_fract_z
Dy1 Dy 0.8879 0.8879 0.3364
Dy2 Dy 0.1121 0.1121 0.6636
Se1 Se 0.5000 0.5000 0.5000
Ac1 Ac 0.0000 0.0000 0.0000


(3)
# PBE Ac2Dy2Se5, optimized geometry
# Size of the total moment = 0.0000 μB per atom
# V = 32.11 Å³ per atom
# Raw formation energy = -1.70 eV/atom
# Density = 6.746 g/cm³
# N(E_F) = 10.25 states/eV/cell
data_Ac2Dy2Se5
_symmetry_space_group_name_H-M 'P 1'
_symmetry_Int_Tables_number 1
_symmetry_space_group_name_Hall 'P 1'
_cell_length_a 8.2759
_cell_length_b 7.3382
_cell_length_c 11.0063
_cell_angle_alpha 109.47
_cell_angle_beta 112.08
_cell_angle_gamma 90.00
loop_
_atom_site_label
_atom_site_type_symbol
_atom_site_fract_x
_atom_site_fract_y
_atom_site_fract_z
Dy1 Dy 0.5000 0.4846 0.0000
Dy2 Dy 0.1458 0.2879 0.5000
Dy3 Dy 0.8542 0.7879 0.5000
Dy4 Dy 0.0000 0.9846 0.0000
Se1 Se 0.7630 0.7794 0.7122
Se2 Se 0.1988 0.2370 0.9501
Se3 Se 0.5508 0.5671 0.2878
Se4 Se 0.8012 0.2870 0.0499
Se5 Se 0.2513 0.7370 0.9501
Se6 Se 0.4492 0.2794 0.7122
Se7 Se 0.1739 0.6654 0.5000
Se8 Se 0.7487 0.7870 0.0499
Se9 Se 0.8261 0.1654 0.5000
Se10 Se 0.2370 0.0671 0.2878
Ac1 Ac 0.8456 0.4164 0.8052
Ac2 Ac 0.5405 0.1112 0.1948
Ac3 Ac 0.1544 0.6112 0.1948
Ac4 Ac 0.4595 0.9164 0.8052


- Which value of raw formation energy does entry 3 give?
  -1.70 eV/atom


Copy entry 1 word for word.
# PBE AcDy2Se5, optimized geometry
# Size of the total moment = 0.0000 μB per atom
# V = 25.43 Å³ per atom
# Raw formation energy = -1.74 eV/atom
# Density = 7.729 g/cm³
# N(E_F) = 11.84 states/eV/cell
data_AcDy2Se5
_symmetry_space_group_name_H-M 'P 1'
_symmetry_Int_Tables_number 1
_symmetry_space_group_name_Hall 'P 1'
_cell_length_a 7.7709
_cell_length_b 7.7709
_cell_length_c 8.6937
_cell_angle_alpha 116.55
_cell_angle_beta 116.55
_cell_angle_gamma 90.00
loop_
_atom_site_label
_atom_site_type_symbol
_atom_site_fract_x
_atom_site_fract_y
_atom_site_fract_z
Dy1 Dy 0.8433 0.6567 0.0000
Dy2 Dy 0.1567 0.3433 0.0000
Dy3 Dy 0.3433 0.8433 0.0000
Dy4 Dy 0.6567 0.1567 0.0000
Se1 Se 0.5000 0.5000 0.0000
Se2 Se 0.2925 0.7925 0.2826
Se3 Se 0.2075 0.0099 0.7174
Se4 Se 0.5099 0.7075 0.7174
Se5 Se 0.4901 0.2925 0.2826
Se6 Se 0.7075 0.2075 0.7174
Se7 Se 0.9901 0.4901 0.2826
Se8 Se 0.0000 0.0000 0.0000
Se9 Se 0.0099 0.5099 0.7174
Se10 Se 0.7925 0.9901 0.2826
Ac1 Ac 0.7500 0.7500 0.5000
Ac2 Ac 0.2500 0.2500 0.5000


- What is the formula in the second record?
  AcDy2Se


- What is the N(E_F) in the first record?
  11.84 states/eV/cell